<one>
Material: TlCdP2
Method: DFT, meta-GGA SCAN
State: single point on PBEsol structure

Geometry as POSCAR:
```
TlCdP2
1.0
-1.610 2.743 4.943
1.610 -2.743 4.943
1.610 2.743 -4.943
Tl Cd P
1 1 2
direct
0.000 0.000 0.000 Tl
0.294 0.794 0.500 Cd
0.556 0.556 0.000 P
0.705 0.205 0.500 P
```

Computed properties:
Space group = Imm2
DOS(E_F) = 0.372 states/eV per atom
Calculated density = 7.20 g cm⁻³

<two>
Material: TlCdP2
Method: DFT, meta-GGA SCAN
State: single point on PBEsol structure

Geometry as POSCAR:
```
TlCdP2
1.0
5.319 0.000 0.000
0.000 5.319 0.000
0.000 0.000 2.851
Tl Cd P
1 1 2
direct
0.000 0.000 0.000 Tl
0.500 0.500 0.000 Cd
0.000 0.500 0.500 P
0.500 0.000 0.500 P
```

Computed properties:
Space group = P4/mmm
DOS(E_F) = 0.529 states/eV per atom
Calculated density = 7.80 g cm⁻³

<three>
Material: TlCdP2
Method: DFT, meta-GGA SCAN
State: single point on PBEsol structure

Geometry as POSCAR:
```
TlCdP2
1.0
1.941 -2.380 0.000
1.941 2.380 0.000
0.000 0.000 8.798
Tl Cd P
1 1 2
direct
0.000 0.000 0.000 Tl
0.000 0.000 0.500 Cd
0.500 0.500 0.281 P
0.500 0.500 0.719 P
```

Computed properties:
Space group = Cmmm
DOS(E_F) = 0.440 states/eV per atom
Calculated density = 7.74 g cm⁻³

Stability, highest: <one>

<one>
Material: Zn2CdP
Method: DFT, meta-GGA SCAN
State: single point on PBEsol structure

Geometry as POSCAR:
```
Zn2CdP
1.0
0.000 3.246 3.246
3.246 0.000 3.246
3.246 3.246 0.000
Zn Cd P
2 1 1
direct
0.000 0.000 0.000 Zn
0.250 0.250 0.250 Zn
0.750 0.750 0.750 Cd
0.500 0.500 0.500 P
```

Computed properties:
Space group = F-43m
DOS(E_F) = 0.446 states/eV per atom
Calculated density = 6.66 g cm⁻³

<two>
Material: Zn2CdP
Method: DFT, meta-GGA SCAN
State: single point on PBEsol structure

Geometry as POSCAR:
```
Zn2CdP
1.0
-1.983 1.983 4.202
1.983 -1.983 4.202
1.983 1.983 -4.202
Zn Cd P
2 1 1
direct
0.250 0.750 0.500 Zn
0.750 0.250 0.500 Zn
0.000 0.000 0.000 Cd
0.500 0.500 0.000 P
```

Computed properties:
Space group = I4/mmm
DOS(E_F) = 0.244 states/eV per atom
Calculated density = 6.89 g cm⁻³

Stability, highest: <two>